Entry i
A relaxed structure of Tc2AgRh, computed with PBE.

The space group is P4/mmm (No. 123) and the conventional cell measures 2.679, 2.679 and 8.420 Å, with angles of 90.00, 90.00 and 90.00 degrees. The inequivalent atoms are Tc at (0.000, 0.000, 0.235), Ag at (0.500, 0.500, 0.500) and Rh at (0.500, 0.500, 0.000).

---

Entry ii
A relaxed structure of Tc2AgRh, computed with PBE.

The space group is Pmmm (No. 47) and the conventional cell measures 2.729, 4.079 and 5.505 Å, with angles of 90.00, 90.00 and 90.00 degrees. The inequivalent atoms are Tc at (0.000, 0.000, 0.219), Ag at (0.500, 0.500, 0.500) and Rh at (0.500, 0.500, 0.000).

---

Result of the stability comparison: entry ii is the least stable of them.

---

Entry i
A relaxed structure of Tc2AgRh, computed with PBE.

The space group is C2/m (No. 12) and the conventional cell measures 9.379, 2.761 and 4.737 Å, with angles of 90.00, 100.26 and 90.00 degrees. The inequivalent atoms are Tc at (0.242, 0.000, 0.235), Ag at (0.000, 0.000, 0.500) and Rh at (0.000, 0.500, 0.000).

---

Entry ii
A relaxed structure of Tc2AgRh, computed with PBE.

The space group is P2/m (No. 10) and the conventional cell measures 4.736, 2.752 and 4.876 Å, with angles of 90.00, 108.95 and 90.00 degrees. The inequivalent atoms are Tc at (0.000, 0.000, 0.000), Tc at (0.500, 0.500, 0.000), Ag at (0.000, 0.500, 0.500) and Rh at (0.500, 0.000, 0.500).

---

Entry iii
A relaxed structure of Tc2AgRh, computed with PBE.

The space group is Cmmm (No. 65) and the conventional cell measures 5.389, 8.222 and 2.709 Å, with angles of 90.00, 90.00 and 90.00 degrees. The inequivalent atoms are Tc at (0.250, 0.250, 0.000), Ag at (0.000, 0.000, 0.500) and Rh at (0.000, 0.500, 0.500).

---

Result of the stability comparison: entry iii is the least stable of them.

---

Entry i
A relaxed structure of Tc2AgRh, computed with PBE.

The space group is P4/mmm (No. 123) and the conventional cell measures 3.824, 3.824 and 4.109 Å, with angles of 90.00, 90.00 and 90.00 degrees. The inequivalent atoms are Tc at (0.000, 0.500, 0.000), Ag at (0.000, 0.000, 0.500) and Rh at (0.500, 0.500, 0.500).

---

Entry ii
A relaxed structure of Tc2AgRh, computed with PBE.

The space group is I4/mmm (No. 139) and the conventional cell measures 3.791, 3.791 and 8.364 Å, with angles of 90.00, 90.00 and 90.00 degrees. The inequivalent atoms are Tc at (0.000, 0.500, 0.250), Ag at (0.000, 0.000, 0.000) and Rh at (0.000, 0.000, 0.500).

---

Entry iii
A relaxed structure of Tc2AgRh, computed with PBE.

The space group is Cm (No. 8) and the conventional cell measures 9.212, 2.701 and 4.923 Å, with angles of 90.00, 98.97 and 90.00 degrees. The inequivalent atoms are Tc at (0.000, 0.000, 0.000), Tc at (0.246, 0.000, 0.777), Ag at (0.490, 0.000, 0.500) and Rh at (0.233, 0.500, 0.246).

---

Result of the stability comparison: entry i is the least stable of them.